The following is a PBE-GGA calculation of an optimized crystal structure of Li4Zr, from the Alexandria database.

Structure (POSCAR):
```
Li4Zr
1.0
6.722 0.000 0.000
0.000 6.722 0.000
0.000 0.000 6.722
Li Zr
8 2
Direct
0.250 0.250 0.250
0.250 0.250 0.750
0.250 0.750 0.250
0.250 0.750 0.750
0.750 0.250 0.250
0.750 0.250 0.750
0.750 0.750 0.250
0.750 0.750 0.750
0.000 0.000 0.000
0.500 0.500 0.500
```

Formation energy ... 0.95 eV/atom
Space-group type ... Im-3m (229)
Excess energy over the best structure of this formula in the dataset ... 0.000 eV/atom



The following is a PBE-GGA calculation of an optimized crystal structure of LaCe2Hg2, from the Alexandria database.

Structure (POSCAR):
```
LaCe2Hg2
1.0
6.015 0.000 0.000
0.000 6.364 0.000
-2.611 0.000 7.618
La Ce Hg
2 4 4
Direct
0.000 0.000 0.000
0.500 0.500 0.000
0.000 0.214 0.500
0.000 0.786 0.500
0.500 0.286 0.500
0.500 0.714 0.500
0.084 0.500 0.192
0.416 0.000 0.808
0.584 0.000 0.192
0.916 0.500 0.808
```

Formation energy ... -0.20 eV/atom
Space-group type ... C2/m (12)



The following is a PBE-GGA calculation of an optimized crystal structure of Ti2MnOs, from the Alexandria database.

Structure (POSCAR):
```
Ti2MnOs
1.0
4.307 0.000 0.000
0.000 4.307 0.000
0.000 0.000 3.049
Ti Mn Os
2 1 1
Direct
0.000 0.500 0.000
0.500 0.000 0.000
0.000 0.000 0.500
0.500 0.500 0.500
```

Formation energy ... -0.49 eV/atom
Space-group type ... P4/mmm (123)
Excess energy over the best structure of this formula in the dataset ... 0.005 eV/atom



The following is a PBE-GGA calculation of an optimized crystal structure of Pm4Pr7Sm, from the Alexandria database.

Structure (POSCAR):
```
Pm4Pr7Sm
1.0
8.244 -3.068 0.000
8.244 3.068 0.000
-4.178 0.000 8.557
Pm Pr Sm
4 7 1
Direct
0.073 0.073 0.198
0.172 0.172 0.890
0.828 0.828 0.110
0.927 0.927 0.802
0.000 0.000 0.500
0.290 0.290 0.623
0.292 0.292 0.274
0.418 0.418 0.060
0.582 0.582 0.940
0.708 0.708 0.726
0.710 0.710 0.377
0.500 0.500 0.500
```

Formation energy ... 0.20 eV/atom
Space-group type ... C2/m (12)
Excess energy over the best structure of this formula in the dataset ... 0.187 eV/atom



The following is a PBE-GGA calculation of an optimized crystal structure of Ni2W3, from the Alexandria database.

Structure (POSCAR):
```
Ni2W3
1.0
4.129 0.000 0.000
-2.065 3.576 0.000
0.000 0.000 5.136
Ni W
2 3
Direct
0.333 0.667 0.382
0.667 0.333 0.618
0.000 0.000 0.500
0.333 0.667 0.879
0.667 0.333 0.121
```

Formation energy ... 0.56 eV/atom
Space-group type ... P-3m1 (164)
Excess energy over the best structure of this formula in the dataset ... 0.380 eV/atom



The following is a PBE-GGA calculation of an optimized crystal structure of TbCe6Se12, from the Alexandria database.

Structure (POSCAR):
```
TbCe6Se12
1.0
6.432 3.714 3.948
-6.432 3.714 3.948
0.000 -7.427 3.948
Tb Ce Se
1 6 12
Direct
0.000 0.000 0.000
0.135 0.622 0.303
0.303 0.135 0.622
0.378 0.697 0.865
0.622 0.303 0.135
0.697 0.865 0.378
0.865 0.378 0.697
0.050 0.674 0.933
0.067 0.950 0.326
0.177 0.430 0.578
0.326 0.067 0.950
0.422 0.823 0.570
0.430 0.578 0.177
0.570 0.422 0.823
0.578 0.177 0.430
0.674 0.933 0.050
0.823 0.570 0.422
0.933 0.050 0.674
0.950 0.326 0.067
```

Raw formation energy ... -1.73 eV per atom
Space-group type ... R-3 (148)



The following is a PBE-GGA calculation of an optimized crystal structure of PmDy2In2Hg2, from the Alexandria database.

Structure (POSCAR):
```
PmDy2In2Hg2
1.0
2.477 1.430 8.931
-2.477 1.430 8.931
0.000 -2.861 8.931
Pm Dy In Hg
1 2 2 2
Direct
0.000 0.000 0.000
0.132 0.132 0.132
0.868 0.868 0.868
0.267 0.267 0.267
0.733 0.733 0.733
0.429 0.429 0.429
0.571 0.571 0.571
```

Formation energy ... -0.29 eV/atom
Space-group type ... R-3m (166)



The following is a PBE-GGA calculation of an optimized crystal structure of TiReAg2, from the Alexandria database.

Structure (POSCAR):
```
TiReAg2
1.0
3.717 0.000 0.000
0.000 3.717 0.000
0.000 0.000 20.405
Ti Re Ag
4 4 8
Direct
0.000 0.000 0.000
0.000 0.500 0.250
0.500 0.000 0.750
0.500 0.500 0.500
0.000 0.000 0.500
0.000 0.500 0.750
0.500 0.000 0.250
0.500 0.500 0.000
0.247 0.250 0.625
0.250 0.747 0.875
0.250 0.753 0.375
0.253 0.250 0.125
0.747 0.750 0.125
0.750 0.247 0.375
0.750 0.253 0.875
0.753 0.750 0.625
```

Formation energy ... 0.64 eV/atom
Space-group type ... I-42d (122)
Excess energy over the best structure of this formula in the dataset ... 0.000 eV/atom



The following is a PBE-GGA calculation of an optimized crystal structure of ThAlRu2C, from the Alexandria database.

Structure (POSCAR):
```
ThAlRu2C
1.0
2.027 -5.700 0.000
2.027 5.700 0.000
0.000 0.000 7.212
Th Al Ru C
2 2 4 2
Direct
0.058 0.942 0.750
0.942 0.058 0.250
0.224 0.776 0.250
0.776 0.224 0.750
0.339 0.661 0.557
0.339 0.661 0.943
0.661 0.339 0.057
0.661 0.339 0.443
0.500 0.500 0.000
0.500 0.500 0.500
```

Formation energy ... -0.45 eV/atom
Space-group type ... Cmcm (63)



The following is a PBE-GGA calculation of an optimized crystal structure of Sm3Ga3Si2, from the Alexandria database.

Structure (POSCAR):
```
Sm3Ga3Si2
1.0
2.041 -5.569 0.000
2.041 5.569 0.000
0.000 0.000 15.578
Sm Ga Si
6 6 4
Direct
0.065 0.935 0.750
0.354 0.646 0.591
0.354 0.646 0.909
0.646 0.354 0.091
0.646 0.354 0.409
0.935 0.065 0.250
0.071 0.929 0.558
0.071 0.929 0.942
0.203 0.797 0.250
0.797 0.203 0.750
0.929 0.071 0.058
0.929 0.071 0.442
0.350 0.650 0.121
0.350 0.650 0.379
0.650 0.350 0.621
0.650 0.350 0.879
```

Raw formation energy ... -0.68 eV per atom
Space-group type ... Cmcm (63)



The following is a PBE-GGA calculation of an optimized crystal structure of Cr2ReCl, from the Alexandria database.

Structure (POSCAR):
```
Cr2ReCl
1.0
2.811 0.000 0.000
-1.406 2.434 0.000
0.000 0.000 26.483
Cr Re Cl
6 3 3
Direct
0.000 0.000 0.000
0.000 0.000 0.259
0.333 0.667 0.667
0.333 0.667 0.925
0.667 0.333 0.333
0.667 0.333 0.592
0.000 0.000 0.740
0.333 0.667 0.406
0.667 0.333 0.073
0.000 0.000 0.529
0.333 0.667 0.196
0.667 0.333 0.863
```

Raw formation energy ... 0.38 eV per atom
Space-group type ... R3m (160)
Excess energy over the best structure of this formula in the dataset ... 0.214 eV/atom



The following is a PBE-GGA calculation of an optimized crystal structure of Ta2IrRu, from the Alexandria database.

Structure (POSCAR):
```
Ta2IrRu
1.0
5.917 0.000 0.000
0.000 7.381 0.000
0.000 0.000 2.955
Ta Ir Ru
4 2 2
Direct
0.250 0.250 0.000
0.250 0.750 0.000
0.750 0.250 0.000
0.750 0.750 0.000
0.000 0.000 0.500
0.500 0.500 0.500
0.000 0.500 0.500
0.500 0.000 0.500
```

Formation energy ... -0.41 eV/atom
Space-group type ... Cmmm (65)



Calculated mass density, 1.301 9.342 10.008 6.585 14.647 5.714 9.627 10.596 9.432 6.718 8.951 16.861 g cm⁻³ (same order as the records).
Calculated E_tot, -2.29 -3.68 -9.54 -4.57 -9.53 -6.05 -3.16 -5.87 -8.23 -4.94 -8.00 -10.87 eV per atom (same order as the records).